No. 1
First-principles (SCAN) data for a crystal of Li2Si3Ni3O10 relaxed with PBEsol, as listed in Alexandria via LeMat-Bulk.

Space group ... C2/c (15)
Uncorrected formation energy ... -53.989 kcal/mol of atoms

abc: 4.6769 8.0138 10.0874
angles: 92.71 90.00 106.97
With the nearest neighbours (Å) after each atom.
Positions (direct):
Li  0.7358  0.8911  0.0303  3 O 1.95-2.12
Li  0.1553  0.8911  0.5303  3 O 1.95-2.12
Li  0.8447  0.1089  0.4697  3 O 1.95-2.12
Li  0.2642  0.1089  0.9697  3 O 1.95-2.12
Si  0.1574  0.6829  0.0951  4 O 1.62-1.67
Si  0.5256  0.6829  0.5951  4 O 1.62-1.67
Si  0.4744  0.3171  0.4049  4 O 1.62-1.67
Si  0.8426  0.3171  0.9049  4 O 1.62-1.67
Si  0.1945  0.0000  0.2500  4 O 1.62-1.68
Si  0.8055  0.0000  0.7500  4 O 1.62-1.68
Ni  0.6188  0.6870  0.2847  5 O 1.97-2.14
Ni  0.0681  0.6870  0.7847  5 O 1.97-2.14
Ni  0.5000  0.5000  0.0000  6 O 2.03-2.08
Ni  0.0000  0.5000  0.5000  6 O 2.03-2.08
Ni  0.9319  0.3130  0.2153  5 O 1.97-2.14
Ni  0.3812  0.3130  0.7153  5 O 1.97-2.14
O  0.9596  0.9054  0.3611  1 Si 1.62
O  0.3655  0.8652  0.1744  2 Si 1.67-1.68
O  0.9458  0.9054  0.8611  1 Si 1.62
O  0.4997  0.8652  0.6744  2 Si 1.67-1.68
O  0.8148  0.6892  0.1048  1 Si 1.62
O  0.3870  0.6885  0.4477  1 Si 1.63
O  0.8744  0.6892  0.6048  1 Si 1.62
O  0.3015  0.6885  0.9477  1 Si 1.63
O  0.2521  0.5249  0.1666  1 Si 1.65
O  0.2728  0.5249  0.6666  1 Si 1.65
O  0.7272  0.4751  0.3334  1 Si 1.65
O  0.7479  0.4751  0.8334  1 Si 1.65
O  0.6985  0.3115  0.0523  1 Si 1.63
O  0.1256  0.3108  0.3952  1 Si 1.62
O  0.6130  0.3115  0.5523  1 Si 1.63
O  0.1852  0.3108  0.8952  1 Si 1.62
O  0.5003  0.1348  0.3256  2 Si 1.67-1.68
O  0.0542  0.0946  0.1389  1 Si 1.62
O  0.6345  0.1348  0.8256  2 Si 1.67-1.68
O  0.0404  0.0946  0.6389  1 Si 1.62

---

No. 2
First-principles (SCAN) data for a crystal of Li2V2P4H6O17 relaxed with PBEsol, as listed in Alexandria via LeMat-Bulk.

Space group ... P-1 (2)

abc: 8.5459 8.9989 9.3822
angles: 61.91 89.63 80.61
With the nearest neighbours (Å) after each atom.
Positions (direct):
Li  0.2527  0.1747  0.6991  5 O 2.03-2.18
Li  0.6662  0.5153  0.2242  4 O 1.97-2.04
Li  0.3338  0.4847  0.7758  4 O 1.97-2.04
Li  0.7473  0.8253  0.3009  5 O 2.03-2.18
V  0.1285  0.2459  0.2843  6 O 1.93-2.03
V  0.6254  0.2651  0.7763  6 O 1.91-2.03
V  0.3746  0.7349  0.2237  6 O 1.91-2.03
V  0.8715  0.7541  0.7157  6 O 1.93-2.03
P  0.4204  0.1336  0.0983  4 O 1.51-1.59
P  0.9018  0.1599  0.5875  4 O 1.52-1.58
P  0.4379  0.3017  0.4460  4 O 1.53-1.59
P  0.1412  0.6447  0.0151  4 O 1.52-1.58
P  0.8588  0.3553  0.9849  4 O 1.52-1.58
P  0.5621  0.6983  0.5540  4 O 1.53-1.59
P  0.0982  0.8401  0.4125  4 O 1.52-1.58
P  0.5796  0.8664  0.9017  4 O 1.51-1.59
H  0.9553  0.0529  0.2035  1 O 1.05
H  0.5801  0.1125  0.2884  1 O 1.03
H  0.6675  0.0996  0.5064  1 O 1.06
H  0.6970  0.5747  0.9640  1 O 1.06
H  0.1624  0.5000  0.5730  1 O 0.99
H  0.0702  0.4355  0.7329  1 O 1.00
H  0.9298  0.5645  0.2671  1 O 1.00
H  0.8376  0.5000  0.4270  1 O 0.99
H  0.3030  0.4253  0.0360  1 O 1.06
H  0.3325  0.9004  0.4936  1 O 1.06
H  0.4199  0.8875  0.7116  1 O 1.03
H  0.0447  0.9471  0.7965  1 O 1.05
O  0.3421  0.9875  0.1161  1 P 1.51
O  0.5825  0.0625  0.2099  1 H 1.03
O  0.3155  0.2519  0.1540  1 H 1.41, 1 P 1.55
O  0.8158  0.0133  0.6044  1 H 1.44, 1 P 1.56
O  0.0499  0.0762  0.7166  1 H 1.05
O  0.9839  0.2284  0.1257  1 H 1.46, 1 P 1.55
O  0.5708  0.1734  0.4182  1 H 1.06
O  0.2755  0.2500  0.4463  1 P 1.53
O  0.7300  0.4455  0.0552  1 H 1.06
O  0.0696  0.5039  0.1540  1 P 1.54
O  0.9566  0.2522  0.4174  1 P 1.52
O  0.4682  0.2806  0.6156  1 P 1.53
O  0.4500  0.4794  0.3081  1 P 1.53
O  0.7875  0.2950  0.6119  1 P 1.54
O  0.1675  0.4054  0.6853  2 H 0.99-1.00
O  0.4504  0.2525  0.9224  1 P 1.53
O  0.7843  0.2478  0.9281  1 P 1.52
O  0.2157  0.7522  0.0719  1 P 1.52
O  0.5496  0.7475  0.0776  1 P 1.53
O  0.8325  0.5946  0.3147  2 H 0.99-1.00
O  0.2125  0.7050  0.3881  1 P 1.54
O  0.5500  0.5206  0.6919  1 P 1.53
O  0.5318  0.7194  0.3844  1 P 1.53
O  0.0434  0.7478  0.5826  1 P 1.52
O  0.9304  0.4961  0.8460  1 P 1.54
O  0.2700  0.5545  0.9448  1 H 1.06
O  0.7245  0.7500  0.5537  1 P 1.53
O  0.4292  0.8266  0.5818  1 H 1.06
O  0.0161  0.7716  0.8743  1 H 1.46, 1 P 1.55
O  0.9501  0.9238  0.2834  1 H 1.05
O  0.1842  0.9867  0.3956  1 H 1.44, 1 P 1.56
O  0.6845  0.7481  0.8460  1 H 1.41, 1 P 1.55
O  0.4175  0.9375  0.7901  1 H 1.03
O  0.6579  0.0125  0.8839  1 P 1.51

---

No. 3
First-principles (SCAN) data for a crystal of Hf2ClO relaxed with PBEsol, as listed in Alexandria via LeMat-Bulk.

Space group ... I-42d (122)
Uncorrected formation energy ... -28.085 kcal/mol of atoms

abc: 5.3015 5.3015 6.4736
angles: 114.17 114.17 90.00
With the nearest neighbours (Å) after each atom.
Positions (direct):
Hf  0.4577  0.8750  0.2500  2 O 2.07
Hf  0.7923  0.3750  0.2500  2 O 2.07
Hf  0.1250  0.2077  0.7500  2 O 2.07
Hf  0.6250  0.5423  0.7500  2 O 2.07
O  0.7500  0.2500  0.5000  4 Hf 2.07
O  0.5000  0.5000  0.0000  4 Hf 2.07
Cl  0.2500  0.7500  0.5000  4 Hf 2.57
Cl  0.0000  0.0000  0.0000  4 Hf 2.57

---

no.,calculated density (g/cm³),electronic total energy (eV per atom)
1,3.99,-10.433
2,2.75,-8.859
3,9.14,-36.107